(1)
Density functional theory data (PBE) for crystalline LiTlHg2 at its relaxed geometry.

a b c (Å): 9.788 9.788 9.788
angles (deg): 20.09 20.09 20.09
Fractional positions:
1 Li 0.504 0.504 0.504
2 Tl 0.757 0.757 0.757
3 Hg 0.998 0.998 0.998
4 Hg 0.241 0.241 0.241

N(E_F) (states/eV/cell): 1.6
Space-group type: No. 160
Energy (eV for the cell shown): -5.24
Formation enthalpy at 0 K (eV per atom): -0.0903

(2)
Density functional theory data (PBE) for crystalline LiTlHg2 at its relaxed geometry.

a b c (Å): 5.192 5.192 6.078
angles (deg): 79.60 79.60 37.49
Fractional positions:
1 Tl 0.250 0.250 0.250
2 Hg 0.019 0.019 0.967
3 Hg 0.481 0.481 0.533
4 Li 0.750 0.750 0.750

N(E_F) (states/eV/cell): 1.0
Space-group type: No. 12
Energy (eV for the cell shown): -5.47
Formation enthalpy at 0 K (eV per atom): -0.1462

(3)
Density functional theory data (PBE) for crystalline Li12Tl5Hg2 at its relaxed geometry.

a b c (Å): 7.951 7.726 7.181
angles (deg): 91.76 90.00 120.97
Fractional positions:
1 Li 0.964 0.296 0.256
2 Li 0.585 0.745 0.331
3 Li 0.457 0.913 0.690
4 Li 0.668 0.704 0.744
5 Li 0.160 0.745 0.331
6 Li 0.332 0.296 0.256
7 Li 0.036 0.704 0.744
8 Li 0.083 0.165 0.882
9 Li 0.840 0.255 0.669
10 Li 0.415 0.255 0.669
11 Li 0.917 0.835 0.118
12 Li 0.543 0.087 0.310
13 Tl 0.288 0.577 0.010
14 Tl 0.000 0.000 0.500
15 Tl 0.256 0.512 0.569
16 Tl 0.744 0.488 0.431
17 Tl 0.712 0.423 0.990
18 Hg 0.296 0.000 0.000
19 Hg 0.704 0.000 0.000

N(E_F) (states/eV/cell): 5.9
Space-group type: No. 12
Energy (eV for the cell shown): -39.52
Formation enthalpy at 0 K (eV per atom): -0.2168